Material: Gd3GaFeSe7
Method: DFT, PBE
State: optimized geometry

Results
Total magnetic moment, Bohr magnetons per cell: 7.998
E_tot, Ha/atom: -0.20016

Structure (POSCAR):
```
Gd3GaFeSe7
1.0
-8.062 6.026 0.936
-3.890 -5.189 -0.102
4.585 -3.600 8.287
Fe Ga Gd Se
2 2 6 14
direct
0.003 0.002 0.006
0.997 0.502 0.994
0.667 0.600 0.333
0.333 0.100 0.667
0.375 0.179 0.158
0.843 0.179 0.217
0.219 0.678 0.378
0.781 0.178 0.622
0.157 0.679 0.783
0.625 0.679 0.842
0.565 0.444 0.084
0.240 0.766 0.105
0.895 0.765 0.135
0.135 0.268 0.239
0.666 0.972 0.332
0.519 0.445 0.436
0.917 0.445 0.480
0.083 0.945 0.520
0.481 0.945 0.564
0.334 0.472 0.668
0.865 0.768 0.761
0.105 0.265 0.865
0.760 0.266 0.895
0.435 0.944 0.916
```